A relaxed structure of Cs4US5. Source: OQMD via LeMat-Bulk, functional GGA-PBE.

Cell lengths 8.282, 8.282, 8.282 Å; angles 100.14, 100.14, 130.38 degrees
Positions (direct):
Cs  0.100  0.298  0.398
Cs  0.298  0.900  0.198
Cs  0.702  0.100  0.802
Cs  0.900  0.702  0.602
U  0.533  0.533  0.000
S  0.273  0.571  0.849
S  0.424  0.273  0.702
S  0.571  0.722  0.298
S  0.722  0.424  0.151
S  0.891  0.891  0.000

Crystal system = tetragonal
Uncorrected energy = -4.787 eV per atom
SG = I4, No. 79